[1]
# MnB2Br

MnB2Br at its PBEsol-relaxed geometry (meta-GGA SCAN, Alexandria).

abc: 5.0041 5.0041 9.1377
angles: 90.00 90.00 90.00
Last column: nearest neighbours and their distance in Å.
Space group I-42d (No. 122)
Symmetry-distinct sites (fractional):
Mn1 0.0000 0.0000 0.0000 (multiplicity 4)  4 B 1.95
B1 0.1910 0.2500 0.1250 (multiplicity 8)  2 Mn 1.95
Br1 0.0000 0.0000 0.5000 (multiplicity 4)  4 B 2.29

Summary:
ΔE_f (raw): 112.90 kJ/mol of atoms
Electronic total energy: -11.97 eV/atom
Mass density: 4.54 Mg/m³
Crystal system: tetragonal
D(E_F): 6.605 states/eV/cell

=====

[2]
# B2MoBr2

B2MoBr2 at its PBEsol-relaxed geometry (meta-GGA SCAN, Alexandria).

abc: 6.2080 6.2080 4.4598
angles: 90.00 90.00 90.00
Last column: nearest neighbours and their distance in Å.
Space group P4/mbm (No. 127)
Symmetry-distinct sites (fractional):
B1 0.2378 0.2622 0.0000 (multiplicity 4)  2 Mo 2.20, 2 Br 2.25
Mo1 0.0000 0.0000 0.0000 (multiplicity 2)  4 B 2.20
Br1 0.2077 0.2923 0.5000 (multiplicity 4)  2 B 2.25

Summary:
ΔE_f (raw): 125.77 kJ/mol of atoms
Electronic total energy: -16.43 eV/atom
Mass density: 5.36 Mg/m³
Crystal system: tetragonal
D(E_F): 4.308 states/eV/cell

=====

[3]
# BTeBrN2

BTeBrN2 at its PBEsol-relaxed geometry (meta-GGA SCAN, Alexandria).

abc: 3.7646 3.7646 4.3056
angles: 90.00 90.00 90.00
Last column: nearest neighbours and their distance in Å.
Space group P4/mmm (No. 123)
Symmetry-distinct sites (fractional):
B1 0.0000 0.0000 0.0000 (multiplicity 1)  4 N 1.88
Te1 0.5000 0.5000 0.5000 (multiplicity 1)  4 Br 2.66, 8 N 2.86
Br1 0.0000 0.0000 0.5000 (multiplicity 1)  2 B 2.15
N1 0.0000 0.5000 0.0000 (multiplicity 2)  2 B 1.88

Summary:
ΔE_f (raw): 181.81 kJ/mol of atoms
Electronic total energy: -14.66 eV/atom
Mass density: 6.70 Mg/m³
Crystal system: tetragonal
D(E_F): 2.404 states/eV/cell

=====

[4]
# RbNa2B6BrO10

RbNa2B6BrO10 at its PBEsol-relaxed geometry (meta-GGA SCAN, Alexandria).

abc: 12.7978 9.5749 8.4686
angles: 90.00 90.00 90.00
Last column: nearest neighbours and their distance in Å.
Space group Pnma (No. 62)
Symmetry-distinct sites (fractional):
Rb1 0.0000 0.0000 0.0000 (multiplicity 4)  4 O 2.97-3.02
Na1 0.0000 0.0000 0.5000 (multiplicity 4)  4 O 2.30-2.51
Na2 0.2018 0.2500 0.2464 (multiplicity 4)  4 O 2.48-2.52
B1 0.0237 0.7500 0.3000 (multiplicity 4)  3 O 1.36-1.37
B2 0.1712 0.2500 0.6092 (multiplicity 4)  4 O 1.44-1.52
B3 0.1908 0.6141 0.2800 (multiplicity 8)  4 O 1.44-1.53
B4 0.2346 0.0119 0.5330 (multiplicity 8)  3 O 1.36-1.38
Br1 0.0552 0.7500 0.7327 (multiplicity 4)  4 Na 3.11-3.29, 2 Rb 3.37
O1 0.0767 0.6254 0.2997 (multiplicity 8)  2 B 1.37-1.47
O2 0.0823 0.2500 0.7127 (multiplicity 4)  2 B 1.36-1.44
O3 0.1721 0.1266 0.5049 (multiplicity 8)  2 B 1.38-1.48
O4 0.2076 0.0002 0.1691 (multiplicity 8)  2 B 1.37-1.46
O5 0.2292 0.7500 0.2060 (multiplicity 4)  3 B 1.52-1.53
O6 0.2441 0.5943 0.4280 (multiplicity 8)  2 B 1.36-1.44

Summary:
ΔE_f (raw): -244.51 kJ/mol of atoms
Electronic total energy: -10.31 eV/atom
Mass density: 2.79 Mg/m³
Crystal system: orthorhombic
D(E_F): 0.000 states/eV/cell

=====

[5]
# NaB2TeBr

NaB2TeBr at its PBEsol-relaxed geometry (meta-GGA SCAN, Alexandria).

abc: 4.4853 4.4853 5.8557
angles: 90.00 90.00 90.00
Last column: nearest neighbours and their distance in Å.
Space group P4/mmm (No. 123)
Symmetry-distinct sites (fractional):
Na1 0.0000 0.0000 0.0000 (multiplicity 1)  4 Te 3.17
B1 0.0000 0.5000 0.5000 (multiplicity 2)  2 Br 2.24
Te1 0.5000 0.5000 0.0000 (multiplicity 1)  2 Br 2.93, 4 Na 3.17
Br1 0.5000 0.5000 0.5000 (multiplicity 1)  4 B 2.24

Summary:
ΔE_f (raw): 166.23 kJ/mol of atoms
Electronic total energy: -13.43 eV/atom
Mass density: 3.55 Mg/m³
Crystal system: tetragonal
D(E_F): 2.399 states/eV/cell

=====

[6]
# Nb2BBr

Nb2BBr at its PBEsol-relaxed geometry (meta-GGA SCAN, Alexandria).

abc: 6.1310 6.1310 6.1310
angles: 90.00 90.00 90.00
Last column: nearest neighbours and their distance in Å.
Space group Fm-3m (No. 225)
Symmetry-distinct sites (fractional):
Nb1 0.2500 0.2500 0.2500 (multiplicity 8)  4 B 2.65, 4 Br 2.65
B1 0.0000 0.0000 0.0000 (multiplicity 4)  8 Nb 2.65
Br1 0.0000 0.0000 0.5000 (multiplicity 4)  8 Nb 2.65

Summary:
ΔE_f (raw): 48.16 kJ/mol of atoms
Electronic total energy: -22.79 eV/atom
Mass density: 7.97 Mg/m³
Crystal system: cubic
D(E_F): 4.324 states/eV/cell

=====

[7]
# Ni3B7BrO13

Ni3B7BrO13 at its PBEsol-relaxed geometry (meta-GGA SCAN, Alexandria).

abc: 8.4789 8.4861 11.9906
angles: 90.00 90.00 90.00
Last column: nearest neighbours and their distance in Å.
Space group Pca2_1 (No. 29)
Symmetry-distinct sites (fractional):
Ni1 0.0170 0.0297 0.0000 (multiplicity 4)  4 O 1.98-2.05
Ni2 0.0184 0.4685 0.9982 (multiplicity 4)  4 O 2.00-2.05
Ni3 0.2434 0.2505 0.2779 (multiplicity 4)  4 O 1.99-2.04
B1 0.0002 0.0015 0.7515 (multiplicity 4)  4 O 1.46-1.49
B2 0.0030 0.4970 0.7509 (multiplicity 4)  4 O 1.46-1.49
B3 0.0483 0.7501 0.1519 (multiplicity 4)  3 O 1.38
B4 0.0937 0.7494 0.6777 (multiplicity 4)  4 O 1.44-1.56
B5 0.2452 0.7462 0.0037 (multiplicity 4)  4 O 1.46-1.49
B6 0.2475 0.9035 0.8316 (multiplicity 4)  4 O 1.44-1.56
B7 0.2492 0.5964 0.8306 (multiplicity 4)  4 O 1.44-1.56
Br1 0.2029 0.2489 0.9790 (multiplicity 4)  3 Ni 2.44-2.45
O1 0.0343 0.3359 0.2325 (multiplicity 4)  2 B 1.46-1.47
O2 0.0395 0.5879 0.1461 (multiplicity 4)  2 B 1.38-1.49
O3 0.0411 0.1698 0.7296 (multiplicity 4)  2 B 1.38-1.49
O4 0.0514 0.9106 0.6543 (multiplicity 4)  2 B 1.44-1.46
O5 0.0851 0.5606 0.3474 (multiplicity 4)  2 B 1.45-1.46
O6 0.0854 0.9526 0.8517 (multiplicity 4)  2 B 1.46
O7 0.1200 0.8327 0.0666 (multiplicity 4)  2 B 1.38-1.49
O8 0.1411 0.6690 0.5767 (multiplicity 4)  2 B 1.45-1.46
O9 0.1679 0.0223 0.2695 (multiplicity 4)  2 B 1.44-1.46
O10 0.1689 0.6264 0.9350 (multiplicity 4)  2 B 1.45-1.46
O11 0.1719 0.4729 0.7688 (multiplicity 4)  2 B 1.44-1.46
O12 0.1731 0.8631 0.4347 (multiplicity 4)  2 B 1.45-1.47
O13 0.2351 0.7507 0.7603 (multiplicity 4)  3 B 1.56

Summary:
ΔE_f (raw): -218.00 kJ/mol of atoms
Electronic total energy: -10.63 eV/atom
Mass density: 4.15 Mg/m³
Crystal system: orthorhombic
D(E_F): 0.000 states/eV/cell

=====

[8]
# BBr2O

BBr2O at its PBEsol-relaxed geometry (meta-GGA SCAN, Alexandria).

abc: 3.3612 3.3612 20.5007
angles: 90.00 90.00 120.00
Last column: nearest neighbours and their distance in Å.
Space group R-3m (No. 166, hexagonal axes)
Symmetry-distinct sites (fractional):
B1 0.0000 0.0000 0.0000 (multiplicity 3)  6 Br 2.41
Br1 0.0000 0.0000 0.4030 (multiplicity 6)  1 O 1.99
O1 0.0000 0.0000 0.5000 (multiplicity 3)  2 Br 1.99

Summary:
ΔE_f (raw): 107.31 kJ/mol of atoms
Electronic total energy: -12.03 eV/atom
Mass density: 4.63 Mg/m³
Crystal system: trigonal
ΔE to the lowest computed polymorph: 0 meV per atom
D(E_F): 3.281 states/eV/cell

=====

- The highest mass density belongs to which entry?
  Nb2BBr

=====

- What is the formula in the seventh record?
  Ni3B7BrO13

=====

- What is the electronic total energy in the first record?
  -11.97 eV/atom